Record 1
The following is a PBE-GGA calculation of a relaxed Ba2YZrAl crystal, from Alexandria.

Computed properties:
Its crystal system is tetragonal. The energy relative to the elements comes out at 0.81 eV per atom. As for the spin magnetization: 0.12 μB/atom.

The structure in CIF format:
```
data_Ba2YZrAl
_space_group_name_H-M_alt 'P 4/m m m'
_space_group_IT_number 123
_space_group_name_Hall '-P 4 2'
_cell_length_a 6.014
_cell_length_b 6.014
_cell_length_c 5.462
_cell_angle_alpha 90.00
_cell_angle_beta 90.00
_cell_angle_gamma 90.00
loop_
_atom_site_label
_atom_site_type_symbol
_atom_site_fract_x
_atom_site_fract_y
_atom_site_fract_z
Ba1 Ba 0.000 0.500 0.000
Y1 Y 0.000 0.000 0.500
Zr1 Zr 0.500 0.500 0.000
Al1 Al 0.500 0.500 0.500
```

=====

Record 2
The following is a PBE-GGA calculation of a relaxed Ce2PmTh crystal, from Alexandria.

Computed properties:
Its crystal system is tetragonal. The energy relative to the elements comes out at 0.09 eV per atom. The energy above the most stable polymorph in this dataset is 0.037 eV per atom. As for the spin magnetization: 0.00 μB/atom.

The structure in CIF format:
```
data_Ce2PmTh
_space_group_name_H-M_alt 'P 4/m m m'
_space_group_IT_number 123
_space_group_name_Hall '-P 4 2'
_cell_length_a 4.914
_cell_length_b 4.914
_cell_length_c 4.986
_cell_angle_alpha 90.00
_cell_angle_beta 90.00
_cell_angle_gamma 90.00
loop_
_atom_site_label
_atom_site_type_symbol
_atom_site_fract_x
_atom_site_fract_y
_atom_site_fract_z
Ce1 Ce 0.000 0.500 0.000
Pm1 Pm 0.000 0.000 0.500
Th1 Th 0.500 0.500 0.500
```

=====

energy relative to the elements of number 1 (Ba2YZrAl)? 0.81 eV per atom